DFT (GGA-PBE) results for a relaxed structure of AcPd2Pb2.

Cell lengths 4.821, 4.821, 11.058 Å; angles 90.00, 90.00, 90.00 degrees
Space group P4/nmm (No. 129, origin choice 2)
One atom of each set of equivalent atoms:
Ac (0.250, 0.250, 0.237)
Pd (0.250, 0.250, 0.634)
Pd (0.250, 0.750, 0.000)
Pb (0.250, 0.250, 0.877)
Pb (0.250, 0.750, 0.500)

Computed properties:
DOS(E_F)	3.18	states/eV/f.u.
total energy	-4.93	eV/atom
crystal system	tetragonal